Entry 1:
# SrFeNO2, relaxed, DFT GGA+U
# Calculated total energy in eV/atom: -6.151
data_SrFeNO2
_symmetry_space_group_name_H-M 'P 4/m m m'
_symmetry_Int_Tables_number 123
_symmetry_space_group_name_Hall '-P 4 2'
_cell_length_a 3.9951
_cell_length_b 3.9951
_cell_length_c 3.8476
_cell_angle_alpha 90.00
_cell_angle_beta 90.00
_cell_angle_gamma 90.00
loop_
_atom_site_label
_atom_site_type_symbol
_atom_site_fract_x
_atom_site_fract_y
_atom_site_fract_z
Sr1 Sr 0.0000 0.0000 0.0000
Fe1 Fe 0.5000 0.5000 0.5000
N1 N 0.5000 0.5000 0.0000
O1 O 0.0000 0.5000 0.5000

Entry 2:
# TaFeNO2, relaxed, DFT GGA+U
# Calculated total energy in eV/atom: -8.366
data_TaFeNO2
_symmetry_space_group_name_H-M 'P 4/m m m'
_symmetry_Int_Tables_number 123
_symmetry_space_group_name_Hall '-P 4 2'
_cell_length_a 3.9241
_cell_length_b 3.9241
_cell_length_c 4.1481
_cell_angle_alpha 90.00
_cell_angle_beta 90.00
_cell_angle_gamma 90.00
loop_
_atom_site_label
_atom_site_type_symbol
_atom_site_fract_x
_atom_site_fract_y
_atom_site_fract_z
Ta1 Ta 0.0000 0.0000 0.0000
Fe1 Fe 0.5000 0.5000 0.5000
N1 N 0.0000 0.0000 0.5000
O1 O 0.0000 0.5000 0.0000

Entry 3:
# TaFeN2O, relaxed, DFT GGA+U
# Calculated total energy in eV/atom: -8.191
data_TaFeN2O
_symmetry_space_group_name_H-M 'P 4/m m m'
_symmetry_Int_Tables_number 123
_symmetry_space_group_name_Hall '-P 4 2'
_cell_length_a 4.0609
_cell_length_b 4.0609
_cell_length_c 3.9433
_cell_angle_alpha 90.00
_cell_angle_beta 90.00
_cell_angle_gamma 90.00
loop_
_atom_site_label
_atom_site_type_symbol
_atom_site_fract_x
_atom_site_fract_y
_atom_site_fract_z
Ta1 Ta 0.0000 0.0000 0.0000
Fe1 Fe 0.5000 0.5000 0.5000
N1 N 0.0000 0.5000 0.0000
O1 O 0.0000 0.0000 0.5000

Entry 4:
# TaFeN2O, relaxed, DFT GGA+U
# Calculated total energy in eV/atom: -7.403
data_TaFeN2O
_symmetry_space_group_name_H-M 'P 4/m m m'
_symmetry_Int_Tables_number 123
_symmetry_space_group_name_Hall '-P 4 2'
_cell_length_a 3.7861
_cell_length_b 3.7861
_cell_length_c 3.5975
_cell_angle_alpha 90.00
_cell_angle_beta 90.00
_cell_angle_gamma 90.00
loop_
_atom_site_label
_atom_site_type_symbol
_atom_site_fract_x
_atom_site_fract_y
_atom_site_fract_z
Ta1 Ta 0.0000 0.0000 0.0000
Fe1 Fe 0.5000 0.5000 0.5000
N1 N 0.0000 0.5000 0.5000
O1 O 0.5000 0.5000 0.0000

For the records above, the corresponding DOS(E_F) values read 0.425, 0.044, 0.611, 0.398 states/eV per atom.